(1)
Entry from Alexandria via LeMat-Bulk: an optimized crystal structure of Ce3Zn5Se12 (GGA-PBE).

Output
E_form (uncorrected) (eV/atom): -0.917
E (eV per atom): -4.216
Magnetization (Bohr magnetons per cell): 0.00
Crystal system: cubic

Unit cell a=15.8699 b=15.8699 c=15.8699 alpha=90.00 beta=90.00 gamma=90.00
Space group Ia-3d (No. 230)
Asymmetric unit:
Ce: 0.0000 0.2500 0.1250 [24 per cell]
Zn: 0.0000 0.0000 0.0000 [16 per cell]
Zn: 0.0000 0.2500 0.3750 [24 per cell]
Se: 0.0248 0.0636 0.6514 [96 per cell]

---

(2)
Entry from Alexandria via LeMat-Bulk: an optimized crystal structure of Ce2ZnSe (GGA-PBE).

Output
E_form (uncorrected) (eV/atom): -0.791
E (eV per atom): -4.948
Magnetization (Bohr magnetons per cell): 2.18
Crystal system: tetragonal

Unit cell a=3.5783 b=3.5783 c=7.4972 alpha=90.00 beta=90.00 gamma=90.00
Space group P4/mmm (No. 123)
Asymmetric unit:
Ce: 0.0000 0.0000 0.2413 [2 per cell]
Zn: 0.5000 0.5000 0.5000 [1 per cell]
Se: 0.5000 0.5000 0.0000 [1 per cell]

---

(3)
Entry from Alexandria via LeMat-Bulk: an optimized crystal structure of CeZnSe2 (GGA-PBE).

Output
E_form (uncorrected) (eV/atom): -0.964
E (eV per atom): -4.508
Magnetization (Bohr magnetons per cell): 2.34
Crystal system: trigonal

Unit cell a=4.2596 b=4.2596 c=24.7587 alpha=90.00 beta=90.00 gamma=120.00
Space group R-3m (No. 166, hexagonal axes)
Asymmetric unit:
Ce: 0.0000 0.0000 0.0000 [3 per cell]
Zn: 0.0000 0.0000 0.5000 [3 per cell]
Se: 0.0000 0.0000 0.3986 [6 per cell]

---

(4)
Entry from Alexandria via LeMat-Bulk: an optimized crystal structure of Ce2ZnSe (GGA-PBE).

Output
E_form (uncorrected) (eV/atom): -0.390
E (eV per atom): -4.547
Magnetization (Bohr magnetons per cell): 10.55
Crystal system: trigonal

Unit cell a=3.7772 b=3.7772 c=30.4483 alpha=90.00 beta=90.00 gamma=120.00
Space group R-3m (No. 166, hexagonal axes)
Asymmetric unit:
Ce: 0.0000 0.0000 0.1040 [6 per cell]
Zn: 0.0000 0.0000 0.0000 [3 per cell]
Se: 0.0000 0.0000 0.5000 [3 per cell]